Density functional theory data (PBE) for LiCe2Ag after structural relaxation.

Geometry as POSCAR:
```
LiCe2Ag
1.0
1.507 0.870 11.875
-1.507 0.870 11.875
0.000 -1.740 11.875
Li Ce Ag
1 2 1
direct
0.000 0.000 0.000
0.088 0.088 0.088
0.912 0.912 0.912
0.500 0.500 0.500
```

Computed properties:
DOS(E_F) = 9.37 states/eV/cell
magnetization = 0.0 μB per formula unit
energy of formation = 0.59 eV per formula unit

***

Density functional theory data (PBE) for Li2CeAg after structural relaxation.

Geometry as POSCAR:
```
Li2CeAg
1.0
1.479 0.854 10.575
-1.479 0.854 10.575
0.000 -1.708 10.575
Li Ce Ag
2 1 1
direct
0.097 0.097 0.097
0.903 0.903 0.903
0.000 0.000 0.000
0.500 0.500 0.500
```

Computed properties:
DOS(E_F) = 3.55 states/eV/cell
magnetization = 0.0 μB per formula unit
energy of formation = 0.12 eV per formula unit

***

Q: Which value of magnetization does entry 1 give?
A: 0.0 μB per formula unit